Crystalline P2RhPb at its relaxed geometry, computed with GGA-PBEsol.

Unit cell a=3.1085 b=3.1085 c=7.2262 alpha=90.00 beta=90.00 gamma=90.00
With the nearest neighbours (Å) after each atom.
Fractional positions:
Rh: 0.5000 0.5000 0.8247  5 P 2.40-2.50
P: 0.5000 0.5000 0.1569  1 Rh 2.40, 4 P 2.51
P: 0.0000 0.0000 0.9885  4 Rh 2.50, 4 P 2.51
Pb: 0.0000 0.0000 0.5299  4 Rh 3.06, 4 Pb 3.11, 1 P 3.31

Output
- E_tot: -23.65 eV per cell
- Calculated volume: 17.46 Å³/atom